PBE Sm8In2Ga, optimized geometry; symmetry = C2/m; formation enthalpy at 0 K = -0.255 eV/atom; total moment = 0.000 μB per atom
1.0
9.551 -2.638 0.000
9.551 2.638 0.000
-1.743 0.000 6.646
Sm In Ga
8 2 1
Direct
0.013 0.013 0.271
0.208 0.208 0.802
0.346 0.346 0.520
0.408 0.408 0.038
0.592 0.592 0.962
0.654 0.654 0.480
0.792 0.792 0.198
0.987 0.987 0.729
0.180 0.180 0.242
0.820 0.820 0.758
0.500 0.500 0.500


PBE SmInGa, optimized geometry; symmetry = I4mm; formation enthalpy at 0 K = -0.338 eV/atom; excess energy over the best structure of this formula in the dataset = 173.4 meV/atom; total moment = 0.000 μB per atom
1.0
-1.758 1.758 5.945
1.758 -1.758 5.945
1.758 1.758 -5.945
Sm In Ga
1 1 1
Direct
0.000 0.000 0.000
0.306 0.306 0.000
0.666 0.666 0.000


PBE Sm6InGa2, optimized geometry; symmetry = Immm; formation enthalpy at 0 K = -0.396 eV/atom; total moment = 0.000 μB per atom
1.0
-4.937 4.968 5.397
4.937 -4.968 5.397
4.937 4.968 -5.397
Sm In Ga
12 2 4
Direct
0.037 0.239 0.798
0.183 0.280 0.463
0.183 0.720 0.904
0.321 0.027 0.705
0.321 0.616 0.295
0.441 0.239 0.202
0.559 0.761 0.798
0.679 0.384 0.705
0.679 0.973 0.295
0.817 0.280 0.096
0.817 0.720 0.537
0.963 0.761 0.202
0.000 0.000 0.000
0.500 0.500 0.000
0.120 0.620 0.500
0.356 0.000 0.356
0.644 0.000 0.644
0.880 0.380 0.500